VASP calculation (PBE) on a relaxed V3BiSe crystal.

Relative energy among the computed polymorphs, meV/atom: 0
Uncorrected formation energy, eV/f.u.: 2.73

Cell lengths 4.562, 4.562, 4.562 Å; angles 90.00, 90.00, 90.00 degrees
Fractional coordinates of all 5 atoms:
V 0.000 0.000 0.500
V 0.000 0.500 0.000
V 0.500 0.000 0.000
Bi 0.500 0.500 0.500
Se 0.000 0.000 0.000

VASP calculation (PBE) on a relaxed TeRuN2O crystal.

Uncorrected formation energy, eV/f.u.: 3.81

Cell lengths 3.889, 3.889, 4.095 Å; angles 90.00, 90.00, 90.00 degrees
Fractional coordinates of all 5 atoms:
Te 0.000 0.000 0.000
Ru 0.500 0.500 0.500
N 0.000 0.500 0.500
N 0.500 0.000 0.500
O 0.500 0.500 0.000

VASP calculation (PBE) on a relaxed Sr3SnHg crystal.

ΔE_f, eV/atom: -0.186
Relative energy among the computed polymorphs, meV/atom: 339

Cell lengths 6.373, 6.373, 6.373 Å; angles 90.00, 90.00, 90.00 degrees
Fractional coordinates of all 5 atoms:
Sr 0.000 0.000 0.500
Sr 0.000 0.500 0.000
Sr 0.500 0.000 0.000
Sn 0.000 0.000 0.000
Hg 0.500 0.500 0.500

VASP calculation (PBE) on a relaxed Pr2Tm3In crystal.

ΔE_f, eV/atom: -0.139
Relative energy among the computed polymorphs, meV/atom: 0

Cell lengths 4.895, 15.107, 4.935 Å; angles 90.00, 90.00, 90.00 degrees
Fractional coordinates of all 12 atoms:
Pr 0.000 0.162 0.000
Pr 0.000 0.838 0.000
Pr 0.500 0.338 0.000
Pr 0.500 0.662 0.000
Tm 0.000 0.000 0.500
Tm 0.000 0.337 0.500
Tm 0.000 0.663 0.500
Tm 0.500 0.163 0.500
Tm 0.500 0.500 0.500
Tm 0.500 0.837 0.500
In 0.000 0.500 0.000
In 0.500 0.000 0.000

VASP calculation (PBE) on a relaxed ScSb2Pb crystal.

Uncorrected formation energy, eV/f.u.: 0.03

Cell lengths 7.560, 7.560, 7.560 Å; angles 90.00, 90.00, 90.00 degrees
Fractional coordinates of all 16 atoms:
Sc 0.000 0.000 0.000
Sc 0.000 0.500 0.500
Sc 0.500 0.000 0.500
Sc 0.500 0.500 0.000
Sb 0.000 0.000 0.500
Sb 0.000 0.500 0.000
Sb 0.250 0.250 0.750
Sb 0.250 0.750 0.250
Sb 0.500 0.000 0.000
Sb 0.500 0.500 0.500
Sb 0.750 0.250 0.250
Sb 0.750 0.750 0.750
Pb 0.250 0.250 0.250
Pb 0.250 0.750 0.750
Pb 0.750 0.250 0.750
Pb 0.750 0.750 0.250

VASP calculation (PBE) on a relaxed CsTl2Se2 crystal.

Relative energy among the computed polymorphs, meV/atom: 129
Uncorrected formation energy, eV/f.u.: -2.17

Cell lengths 9.108, 9.108, 4.078 Å; angles 90.00, 90.00, 90.00 degrees
Fractional coordinates of all 10 atoms:
Cs 0.000 0.000 0.000
Cs 0.500 0.500 0.000
Tl 0.133 0.367 0.500
Tl 0.367 0.867 0.500
Tl 0.633 0.133 0.500
Tl 0.867 0.633 0.500
Se 0.141 0.641 0.000
Se 0.359 0.141 0.000
Se 0.641 0.859 0.000
Se 0.859 0.359 0.000

VASP calculation (PBE) on a relaxed Cu4PtAu crystal.

ΔE_f, eV/atom: -0.041
Relative energy among the computed polymorphs, meV/atom: 49

Cell lengths 6.833, 7.258, 4.209 Å; angles 90.00, 127.63, 90.00 degrees
Fractional coordinates of all 12 atoms:
Cu 0.243 0.167 0.243
Cu 0.243 0.833 0.243
Cu 0.257 0.333 0.757
Cu 0.257 0.667 0.757
Cu 0.743 0.333 0.243
Cu 0.743 0.667 0.243
Cu 0.757 0.167 0.757
Cu 0.757 0.833 0.757
Pt 0.000 0.000 0.500
Pt 0.500 0.500 0.500
Au 0.000 0.500 0.000
Au 0.500 0.000 0.000

VASP calculation (PBE) on a relaxed Ac2In6GaAg crystal.

ΔE_f, eV/atom: -0.170

Cell lengths 13.299, 13.299, 13.299 Å; angles 31.70, 31.70, 31.70 degrees
Fractional coordinates of all 20 atoms:
Ac 0.112 0.112 0.112
Ac 0.289 0.289 0.289
Ac 0.711 0.711 0.711
Ac 0.888 0.888 0.888
In 0.068 0.662 0.662
In 0.227 0.227 0.663
In 0.227 0.663 0.227
In 0.337 0.773 0.773
In 0.338 0.338 0.932
In 0.338 0.932 0.338
In 0.662 0.068 0.662
In 0.662 0.662 0.068
In 0.663 0.227 0.227
In 0.773 0.337 0.773
In 0.773 0.773 0.337
In 0.932 0.338 0.338
Ga 0.429 0.429 0.429
Ga 0.571 0.571 0.571
Ag 0.000 0.000 0.000
Ag 0.500 0.500 0.500

VASP calculation (PBE) on a relaxed Dy2PuUAs4 crystal.

ΔE_f, eV/atom: -1.191

Cell lengths 7.110, 4.098, 7.143 Å; angles 90.00, 109.37, 90.00 degrees
Fractional coordinates of all 8 atoms:
Dy 0.000 0.000 0.000
Dy 0.000 0.500 0.500
Pu 0.500 0.000 0.500
U 0.500 0.500 0.000
As 0.252 0.000 0.754
As 0.253 0.500 0.247
As 0.747 0.500 0.753
As 0.748 0.000 0.246

VASP calculation (PBE) on a relaxed Rb7AuI2O2 crystal.

Uncorrected formation energy, eV/f.u.: -11.85

Cell lengths 14.172, 14.172, 14.172 Å; angles 159.81, 37.62, 148.60 degrees
Fractional coordinates of all 12 atoms:
Rb 0.000 0.000 0.000
Rb 0.067 0.456 0.610
Rb 0.370 0.170 0.200
Rb 0.373 0.453 0.921
Rb 0.532 0.453 0.079
Rb 0.846 0.456 0.390
Rb 0.970 0.170 0.800
Au 0.659 0.159 0.500
I 0.471 0.671 0.800
I 0.871 0.671 0.200
O 0.028 0.126 0.902
O 0.224 0.126 0.098

VASP calculation (PBE) on a relaxed PmAl2O4 crystal.

Relative energy among the computed polymorphs, meV/atom: 6
Uncorrected formation energy, eV/f.u.: -19.26

Cell lengths 5.036, 5.036, 8.190 Å; angles 90.00, 90.00, 119.62 degrees
Fractional coordinates of all 14 atoms:
Pm 0.000 0.000 0.250
Pm 0.000 0.000 0.750
Al 0.294 0.700 0.000
Al 0.300 0.706 0.500
Al 0.700 0.294 0.500
Al 0.706 0.300 0.000
O 0.000 0.500 0.156
O 0.000 0.500 0.844
O 0.073 0.297 0.500
O 0.297 0.073 0.000
O 0.500 0.000 0.344
O 0.500 0.000 0.656
O 0.703 0.927 0.000
O 0.927 0.703 0.500

VASP calculation (PBE) on a relaxed TlZnRe2As crystal.

ΔE_f, eV/atom: 1.623

Cell lengths 4.647, 4.647, 5.444 Å; angles 90.00, 90.00, 90.00 degrees
Fractional coordinates of all 5 atoms:
Tl 0.000 0.000 0.000
Zn 0.500 0.500 0.000
Re 0.000 0.500 0.500
Re 0.500 0.000 0.500
As 0.000 0.000 0.500